5
Lattice="-2.701 2.962 0.497 -2.946 -2.482 -1.217 -0.607 -1.215 3.947" Properties=species:S:1:pos:R:3 comment="AlWN2F, relaxed, DFT GGA+U" magnetic_moment_mub_per_fu=0.53 de_polymorph_mev_per_atom=306.5 final_energy_ev_per_atom=-5.978 rho_g_cm3=6.28 pbc="T T T"
F -0.303 -0.608 1.974
N -1.351 1.481 0.248
N -1.473 -1.241 -0.609
W 0.000 0.000 0.000
Al -3.127 -0.368 1.613